# 1
DFT (PBE-GGA) results for crystalline TaNi at its relaxed geometry.

Computed properties:
Density of states at the Fermi level: 1.959 states/eV/f.u.
Magnetic moment: 0.00 μB/cell
Total DFT energy (no corrections): -8.696 eV per atom

POSCAR file:
```
TaNi
1.0
2.827 0.000 0.000
-1.413 2.448 0.000
0.000 0.000 8.673
Ta Ni
2 2
direct
0.333 0.667 0.776
0.000 0.000 0.474
0.000 0.000 0.014
0.333 0.667 0.236
```

***

# 2
DFT (PBE-GGA) results for crystalline TaNi at its relaxed geometry.

Computed properties:
Density of states at the Fermi level: 2.256 states/eV/f.u.
Magnetic moment: 0.00 μB/cell
Total DFT energy (no corrections): -8.864 eV per atom

POSCAR file:
```
TaNi
1.0
-1.510 -1.271 -3.157
4.933 0.450 -0.346
1.736 -3.258 0.482
Ta Ni
2 2
direct
0.250 0.500 0.250
0.500 0.000 0.500
0.750 0.500 0.750
0.000 0.000 0.000
```

***

# 3
DFT (PBE-GGA) results for crystalline Ta5Ni at its relaxed geometry.

Computed properties:
Offset from the most stable computed form: 505 meV/atom
Density of states at the Fermi level: 7.547 states/eV/f.u.
Magnetic moment: 0.00 μB/cell
Total DFT energy (no corrections): -10.369 eV per atom

POSCAR file:
```
Ta5Ni
1.0
-3.331 -0.809 4.155
-5.284 -0.593 -0.860
-2.318 -4.812 0.696
Ta Ni
5 1
direct
0.376 0.871 0.376
0.376 0.376 0.871
0.376 0.376 0.376
0.750 0.750 0.750
0.871 0.376 0.376
0.000 0.000 0.000
```

***

# 4
DFT (PBE-GGA) results for crystalline TaNi at its relaxed geometry.

Computed properties:
Density of states at the Fermi level: 1.760 states/eV/f.u.
Magnetic moment: 0.00 μB/cell
Total DFT energy (no corrections): -8.881 eV per atom

POSCAR file:
```
TaNi
1.0
9.589 0.000 0.000
0.000 3.463 0.000
0.000 0.000 5.383
Ni Ta
6 6
direct
0.500 0.500 0.903
0.372 0.000 0.155
0.128 0.500 0.655
0.872 0.500 0.655
0.000 0.000 0.403
0.628 0.000 0.155
0.685 0.000 0.693
0.185 0.500 0.193
0.500 0.500 0.403
0.315 0.000 0.693
0.000 0.000 0.903
0.815 0.500 0.193
```

***

# 5
DFT (PBE-GGA) results for crystalline TaNi5 at its relaxed geometry.

Computed properties:
Density of states at the Fermi level: 7.814 states/eV/f.u.
Magnetic moment: 0.00 μB/cell
Total DFT energy (no corrections): -6.877 eV per atom

POSCAR file:
```
TaNi5
1.0
1.343 -6.526 0.000
1.343 6.526 0.000
0.000 0.000 4.136
Ni Ta
5 1
direct
0.443 0.557 0.500
0.993 0.007 0.000
0.672 0.328 0.000
0.330 0.670 0.000
0.784 0.216 0.500
0.111 0.889 0.500
```

***

# 6
DFT (PBE-GGA) results for crystalline Ta7Ni at its relaxed geometry.

Computed properties:
Density of states at the Fermi level: 12.679 states/eV/f.u.
Magnetic moment: 0.00 μB/cell
Total DFT energy (no corrections): -10.885 eV per atom

POSCAR file:
```
Ta7Ni
1.0
0.000 4.149 4.149
4.149 0.000 4.149
4.149 4.149 0.000
Ta Ni
7 1
direct
0.000 0.000 0.500
0.500 0.000 0.500
0.000 0.500 0.000
0.000 0.500 0.500
0.500 0.000 0.000
0.500 0.500 0.500
0.500 0.500 0.000
0.000 0.000 0.000
```

***

# 7
DFT (PBE-GGA) results for crystalline Ta3Ni8 at its relaxed geometry.

Computed properties:
Density of states at the Fermi level: 7.563 states/eV/f.u.
Magnetic moment: 0.00 μB/cell
Total DFT energy (no corrections): -7.590 eV per atom

POSCAR file:
```
Ta3Ni8
1.0
6.123 -1.838 -1.040
-1.702 6.123 0.155
-1.173 0.092 4.379
Ni Ta
8 3
direct
0.735 0.018 0.155
0.265 0.283 0.420
0.265 0.982 0.845
0.000 0.844 0.197
0.000 0.156 0.803
0.760 0.380 0.880
0.240 0.620 0.120
0.735 0.717 0.580
0.500 0.500 0.000
0.500 0.000 0.500
0.000 0.500 0.500
```

***

# 8
DFT (PBE-GGA) results for crystalline Ta3Ni at its relaxed geometry.

Computed properties:
Density of states at the Fermi level: 4.800 states/eV/f.u.
Magnetic moment: 0.00 μB/cell
Total DFT energy (no corrections): -10.217 eV per atom

POSCAR file:
```
Ta3Ni
1.0
2.830 -4.902 0.000
2.830 4.902 0.000
0.000 0.000 4.804
Ta Ni
6 2
direct
0.169 0.831 0.750
0.831 0.663 0.250
0.337 0.169 0.250
0.169 0.337 0.750
0.663 0.831 0.750
0.831 0.169 0.250
0.333 0.667 0.250
0.667 0.333 0.750
```

***

# 9
DFT (PBE-GGA) results for crystalline Ta3Ni at its relaxed geometry.

Computed properties:
Density of states at the Fermi level: 5.356 states/eV/f.u.
Magnetic moment: 0.00 μB/cell
Total DFT energy (no corrections): -10.176 eV per atom

POSCAR file:
```
Ta3Ni
1.0
2.875 0.000 0.000
-1.438 2.490 0.000
0.000 0.000 9.384
Ta Ni
3 1
direct
0.333 0.667 0.226
0.000 0.000 0.500
0.333 0.667 0.774
0.000 0.000 0.000
```

***

# 10
DFT (PBE-GGA) results for crystalline TaNi at its relaxed geometry.

Computed properties:
Density of states at the Fermi level: 2.687 states/eV/f.u.
Magnetic moment: 0.00 μB/cell
Total DFT energy (no corrections): -8.752 eV per atom

POSCAR file:
```
TaNi
1.0
-1.541 0.358 2.337
-1.268 -0.155 -2.517
-0.335 -4.257 0.432
Ta Ni
1 1
direct
0.333 0.667 0.500
0.000 0.000 0.000
```

***

# 11
DFT (PBE-GGA) results for crystalline Ta2Ni3 at its relaxed geometry.

Computed properties:
Offset from the most stable computed form: 312 meV/atom
Density of states at the Fermi level: 4.532 states/eV/f.u.
Magnetic moment: 0.00 μB/cell
Total DFT energy (no corrections): -8.112 eV per atom

POSCAR file:
```
Ta2Ni3
1.0
10.751 -1.382 0.041
10.751 1.382 0.041
10.564 0.000 2.427
Ta Ni
2 3
direct
0.598 0.598 0.598
0.402 0.402 0.402
0.000 0.000 0.000
0.198 0.198 0.198
0.802 0.802 0.802
```

***

# 12
DFT (PBE-GGA) results for crystalline TaNi at its relaxed geometry.

Computed properties:
Density of states at the Fermi level: 2.120 states/eV/f.u.
Magnetic moment: 0.00 μB/cell
Total DFT energy (no corrections): -8.890 eV per atom

POSCAR file:
```
TaNi
1.0
-3.815 2.029 1.227
-0.245 -2.658 -4.587
-1.129 -2.511 0.644
Ta Ni
2 2
direct
0.761 0.521 0.739
0.489 0.979 0.511
0.014 0.028 0.986
0.236 0.472 0.264
```

***

# 13
DFT (PBE-GGA) results for crystalline TaNi4 at its relaxed geometry.

Computed properties:
Offset from the most stable computed form: 808 meV/atom
Density of states at the Fermi level: 5.934 states/eV/f.u.
Magnetic moment: 0.00 μB/cell
Total DFT energy (no corrections): -6.440 eV per atom

POSCAR file:
```
TaNi4
1.0
-0.057 -4.151 0.942
4.364 -1.640 -6.961
7.150 0.872 4.278
Ni Ta
16 4
direct
0.500 0.206 0.109
0.500 0.609 0.706
0.765 0.000 0.000
0.500 0.706 0.391
0.500 0.895 0.605
0.500 0.794 0.891
0.500 0.105 0.395
0.765 0.500 0.500
0.500 0.891 0.206
0.500 0.294 0.609
0.500 0.395 0.895
0.500 0.391 0.294
0.235 0.000 0.000
0.235 0.500 0.500
0.500 0.605 0.105
0.500 0.109 0.794
0.000 0.618 0.882
0.000 0.382 0.118
0.000 0.118 0.618
0.000 0.882 0.382
```

***

# 14
DFT (PBE-GGA) results for crystalline TaNi2 at its relaxed geometry.

Computed properties:
Density of states at the Fermi level: 2.245 states/eV/f.u.
Magnetic moment: 0.00 μB/cell
Total DFT energy (no corrections): -7.127 eV per atom

POSCAR file:
```
TaNi2
1.0
-0.125 -5.754 0.537
1.633 0.480 5.524
-5.543 0.271 1.616
Ni Ta
8 4
direct
0.615 0.615 0.615
0.385 0.115 0.885
0.115 0.885 0.385
0.385 0.385 0.385
0.885 0.115 0.615
0.615 0.885 0.115
0.115 0.615 0.885
0.885 0.385 0.115
0.500 0.500 0.000
0.000 0.000 0.000
0.000 0.500 0.500
0.500 0.000 0.500
```

***

# 15
DFT (PBE-GGA) results for crystalline TaNi4 at its relaxed geometry.

Computed properties:
Offset from the most stable computed form: 274 meV/atom
Density of states at the Fermi level: 4.678 states/eV/f.u.
Magnetic moment: 0.00 μB/cell
Total DFT energy (no corrections): -6.975 eV per atom

POSCAR file:
```
TaNi4
1.0
-1.682 1.682 5.629
1.682 -1.682 5.629
1.682 1.682 -5.629
Ni Ta
4 1
direct
0.399 0.399 0.000
0.250 0.750 0.500
0.750 0.250 0.500
0.601 0.601 0.000
0.000 0.000 0.000
```

***

# 16
DFT (PBE-GGA) results for crystalline Ta5Ni at its relaxed geometry.

Computed properties:
Offset from the most stable computed form: 28 meV/atom
Density of states at the Fermi level: 6.246 states/eV/f.u.
Magnetic moment: 0.00 μB/cell
Total DFT energy (no corrections): -10.846 eV per atom

POSCAR file:
```
Ta5Ni
1.0
3.331 0.000 0.000
0.000 4.605 0.000
0.000 -2.302 6.685
Ta Ni
5 1
direct
0.500 0.162 0.324
0.500 0.500 0.000
0.000 0.665 0.330
0.000 0.335 0.670
0.500 0.838 0.676
0.000 0.000 0.000
```

***

# 17
DFT (PBE-GGA) results for crystalline TaNi at its relaxed geometry.

Computed properties:
Density of states at the Fermi level: 2.925 states/eV/f.u.
Magnetic moment: 0.00 μB/cell
Total DFT energy (no corrections): -8.710 eV per atom

POSCAR file:
```
TaNi
1.0
4.590 -0.020 -0.013
3.722 2.685 -0.013
3.722 1.193 2.405
Ni Ta
1 1
direct
0.000 0.000 0.000
0.500 0.500 0.500
```

***

# 18
DFT (PBE-GGA) results for crystalline Ta3Ni at its relaxed geometry.

Computed properties:
Density of states at the Fermi level: 4.065 states/eV/f.u.
Magnetic moment: 0.00 μB/cell
Total DFT energy (no corrections): -10.345 eV per atom

POSCAR file:
```
Ta3Ni
1.0
4.465 0.008 0.000
-0.006 4.465 0.000
0.000 0.000 3.303
Ni Ta
1 3
direct
0.000 0.000 0.000
0.500 0.500 0.000
0.000 0.500 0.500
0.500 0.000 0.500
```

***

# 19
DFT (PBE-GGA) results for crystalline TaNi at its relaxed geometry.

Computed properties:
Density of states at the Fermi level: 2.866 states/eV/f.u.
Magnetic moment: 0.00 μB/cell
Total DFT energy (no corrections): -8.715 eV per atom

POSCAR file:
```
TaNi
1.0
-1.931 -1.369 1.582
2.775 -0.492 0.400
0.281 6.265 5.767
Ni Ta
2 2
direct
0.333 0.667 0.250
0.667 0.333 0.750
0.000 0.000 0.500
0.000 0.000 0.000
```

***

# 20
DFT (PBE-GGA) results for crystalline Ta2Ni3 at its relaxed geometry.

Computed properties:
Offset from the most stable computed form: 85 meV/atom
Density of states at the Fermi level: 5.329 states/eV/f.u.
Magnetic moment: 0.00 μB/cell
Total DFT energy (no corrections): -8.339 eV per atom

POSCAR file:
```
Ta2Ni3
1.0
4.812 0.104 0.000
2.309 4.224 0.000
0.000 0.000 6.958
Ni Ta
6 4
direct
0.500 0.500 0.500
0.000 0.000 0.000
0.135 0.635 0.750
0.365 0.865 0.250
0.865 0.365 0.250
0.635 0.135 0.750
0.650 0.650 0.895
0.850 0.850 0.395
0.150 0.150 0.605
0.350 0.350 0.105
```

***

# 21
DFT (PBE-GGA) results for crystalline Ta2Ni3 at its relaxed geometry.

Computed properties:
Offset from the most stable computed form: 0 meV/atom
Density of states at the Fermi level: 5.004 states/eV/f.u.
Magnetic moment: 0.00 μB/cell
Total DFT energy (no corrections): -8.424 eV per atom

POSCAR file:
```
Ta2Ni3
1.0
3.209 -5.761 3.764
-1.518 -6.200 2.404
3.298 -2.800 -2.381
Ni Ta
6 4
direct
0.241 0.259 0.259
0.803 0.425 0.320
0.930 0.798 0.447
0.825 0.447 0.798
0.452 0.320 0.425
0.991 0.009 0.009
0.252 0.855 0.391
0.502 0.391 0.855
0.395 0.998 0.748
0.859 0.748 0.998
```

***

# 22
DFT (PBE-GGA) results for crystalline TaNi5 at its relaxed geometry.

Computed properties:
Density of states at the Fermi level: 4.207 states/eV/f.u.
Magnetic moment: 0.00 μB/cell
Total DFT energy (no corrections): -7.030 eV per atom

POSCAR file:
```
TaNi5
1.0
1.797 4.075 0.120
-1.797 4.075 0.120
0.000 1.526 4.914
Ni Ta
5 1
direct
0.642 0.642 0.711
0.974 0.974 0.552
0.306 0.306 0.389
0.637 0.637 0.226
0.970 0.970 0.067
0.306 0.306 0.889
```

***

# 23
DFT (PBE-GGA) results for crystalline TaNi2 at its relaxed geometry.

Computed properties:
Density of states at the Fermi level: 1.689 states/eV/f.u.
Magnetic moment: 0.00 μB/cell
Total DFT energy (no corrections): -8.139 eV per atom

POSCAR file:
```
TaNi2
1.0
-1.886 -2.537 0.265
2.411 -1.667 1.228
-1.311 3.263 2.885
Ta Ni
1 2
direct
0.000 0.000 0.000
0.334 0.334 0.668
0.666 0.666 0.332
```

***

# 24
DFT (PBE-GGA) results for crystalline TbTaNi10 at its relaxed geometry.

Computed properties:
Density of states at the Fermi level: 14.930 states/eV/f.u.
Magnetic moment: 1.97 μB/cell
Total DFT energy (no corrections): -6.378 eV per atom

POSCAR file:
```
TbTaNi10
1.0
3.968 0.000 0.000
0.000 4.756 0.000
0.000 0.000 8.249
Ni Tb Ta
10 1 1
direct
0.000 0.500 0.182
0.500 0.256 0.739
0.500 0.500 0.000
0.500 0.000 0.500
0.500 0.744 0.261
0.000 0.000 0.656
0.500 0.256 0.261
0.000 0.000 0.344
0.500 0.744 0.739
0.000 0.500 0.818
0.000 0.000 0.000
0.000 0.500 0.500
```

***

# 25
DFT (PBE-GGA) results for crystalline TbTaNi4 at its relaxed geometry.

Computed properties:
Density of states at the Fermi level: 5.625 states/eV/f.u.
Magnetic moment: 0.00 μB/cell
Total DFT energy (no corrections): -6.798 eV per atom

POSCAR file:
```
TbTaNi4
1.0
-3.912 -0.385 2.993
-0.054 -3.419 3.566
0.369 1.363 4.734
Ni Ta Tb
4 1 1
direct
0.127 0.624 0.624
0.624 0.624 0.127
0.624 0.127 0.624
0.624 0.624 0.624
0.250 0.250 0.250
0.000 0.000 0.000
```

***

# 26
DFT (PBE-GGA) results for crystalline TbTa2Ni9 at its relaxed geometry.

Computed properties:
Density of states at the Fermi level: 10.987 states/eV/f.u.
Magnetic moment: 0.00 μB/cell
Total DFT energy (no corrections): -6.998 eV per atom

POSCAR file:
```
TbTa2Ni9
1.0
-3.624 -3.115 0.627
0.399 -3.539 3.248
-4.160 2.476 6.786
Ni Ta Tb
9 2 1
direct
0.666 0.666 0.001
0.590 0.590 0.739
0.334 0.334 0.999
0.500 0.500 0.500
0.082 0.590 0.739
0.410 0.918 0.261
0.410 0.410 0.261
0.918 0.410 0.261
0.590 0.082 0.739
0.142 0.142 0.574
0.858 0.858 0.426
0.000 0.000 0.000
```